No. 1
Crystalline Ca3Mn5F12 at its relaxed geometry, computed with GGA+U.

Properties
- DOS at the Fermi energy (states/eV per atom) = 0.25
- symmetry = Ia-3d (230)
- mass density (g cm⁻³) = 3.3
- energy (eV/atom) = -5.860

Structure (extended XYZ):
```
80
Lattice="-6.806 6.806 6.806 6.806 -6.806 6.806 6.806 6.806 -6.806" Properties=species:S:1:pos:R:3 pbc="T T T"
Ca 3.403 1.701 0.000
Ca 6.806 3.403 -1.701
Ca 1.701 0.000 3.403
Ca 8.507 0.000 3.403
Ca 0.000 3.403 1.701
Ca 3.403 -1.701 6.806
Ca 3.403 8.507 0.000
Ca 6.806 3.403 5.104
Ca -1.701 6.806 3.403
Ca 5.104 6.806 3.403
Ca 0.000 3.403 8.507
Ca 3.403 5.104 6.806
Mn 0.000 0.000 0.000
Mn 3.403 3.403 -3.403
Mn 3.403 -3.403 3.403
Mn 6.806 0.000 0.000
Mn 10.208 1.701 0.000
Mn 6.806 -3.403 5.104
Mn 5.104 6.806 -3.403
Mn 5.104 0.000 3.403
Mn 3.403 5.104 0.000
Mn 6.806 3.403 1.701
Mn -3.403 3.403 3.403
Mn 0.000 6.806 0.000
Mn 0.000 0.000 6.806
Mn 3.403 3.403 3.403
Mn 0.000 3.403 5.104
Mn 3.403 1.701 6.806
Mn 1.701 6.806 3.403
Mn 1.701 0.000 10.208
Mn 0.000 10.208 1.701
Mn -3.403 5.104 6.806
F 2.109 -0.107 0.751
F 8.099 4.154 -3.510
F 8.915 0.107 0.751
F 8.099 -2.651 3.510
F 6.698 -0.751 2.109
F 10.316 -1.294 2.651
F 0.751 2.109 -0.107
F 9.457 3.296 -1.294
F 4.154 3.510 -1.294
F 6.054 2.109 0.107
F -0.107 0.751 2.109
F 3.510 -1.294 4.154
F 6.698 6.054 -2.109
F 3.510 1.294 2.651
F 4.154 -3.510 8.099
F 6.054 -2.109 6.698
F 2.651 3.510 1.294
F 7.557 4.697 0.107
F 3.510 8.099 -2.651
F 6.698 0.751 4.697
F 2.109 6.698 -0.751
F 8.099 2.651 3.296
F 1.294 2.651 3.510
F 2.109 0.107 6.054
F 4.697 6.698 0.751
F 5.512 4.154 3.296
F -1.294 4.154 3.510
F 4.697 0.107 7.557
F 0.107 6.054 2.109
F 3.296 -1.294 9.457
F -0.751 2.109 6.698
F 4.154 3.296 5.512
F 0.751 8.915 0.107
F 2.651 10.316 -1.294
F 3.296 5.512 4.154
F 0.107 0.751 8.915
F 3.296 8.099 2.651
F 6.913 6.054 4.697
F 0.751 4.697 6.698
F 2.651 3.296 8.099
F -2.651 3.510 8.099
F 6.054 4.697 6.913
F -3.510 8.099 4.154
F 0.107 7.557 4.697
F -1.294 9.457 3.296
F -2.109 6.698 6.054
F -1.294 2.651 10.316
F 4.697 6.913 6.054
```


No. 2
Crystalline Na2CaMnF6 at its relaxed geometry, computed with GGA+U.

Properties
- DOS at the Fermi energy (states/eV per atom) = 0.00
- symmetry = P1 (1)
- mass density (g cm⁻³) = 2.9
- energy (eV/atom) = -5.409

Structure (extended XYZ):
```
10
Lattice="5.747 0.000 0.000 2.869 4.990 0.000 0.005 3.314 5.040" Properties=species:S:1:pos:R:3 pbc="T T T"
Na 0.000 0.000 0.000
Na 2.873 1.655 2.494
Ca 2.872 4.978 3.213
Mn 5.745 3.321 0.655
F 0.710 1.588 1.706
F 2.140 3.145 4.271
F 3.908 3.563 1.706
F 4.823 5.255 4.284
F 6.875 4.795 1.706
F 7.403 6.529 4.287
```


No. 3
Crystalline NaCaMn2F8 at its relaxed geometry, computed with GGA+U.

Properties
- DOS at the Fermi energy (states/eV per atom) = 0.36
- symmetry = I-4m2 (119)
- mass density (g cm⁻³) = 3.7
- energy (eV/atom) = -5.592

Structure (extended XYZ):
```
12
Lattice="-2.662 2.662 5.186 2.662 -2.662 5.186 2.662 2.662 -5.186" Properties=species:S:1:pos:R:3 pbc="T T T"
Na 0.000 0.000 0.000
Ca 0.000 2.662 2.593
Mn 2.662 0.000 2.593
Mn 0.000 0.000 5.186
F 1.357 1.447 -1.295
F 1.305 -1.215 3.891
F 1.447 1.357 1.295
F 3.877 1.357 1.295
F 1.357 3.877 -1.295
F 1.305 1.215 3.891
F -1.215 1.305 6.480
F 1.215 1.305 6.480
```


No. 4
Crystalline NaCaMnF6 at its relaxed geometry, computed with GGA+U.

Properties
- DOS at the Fermi energy (states/eV per atom) = 0.00
- symmetry = P4_2nm (102)
- mass density (g cm⁻³) = 3.0
- energy (eV/atom) = -5.346

Structure (extended XYZ):
```
18
Lattice="5.037 0.000 0.000 0.000 5.037 0.000 0.000 0.000 10.014" Properties=species:S:1:pos:R:3 pbc="T T T"
Na 0.000 0.000 0.000
Na 2.519 2.519 5.007
Ca 0.000 0.000 3.310
Ca 2.519 2.519 8.317
Mn 0.000 0.000 6.672
Mn 2.519 2.519 1.665
F 0.909 0.909 5.223
F 0.927 0.927 8.102
F 1.146 1.146 1.698
F 1.373 3.664 6.705
F 1.592 3.445 3.095
F 1.610 3.428 0.216
F 3.428 1.610 0.216
F 3.445 1.592 3.095
F 3.664 1.373 6.705
F 3.892 3.892 1.698
F 4.111 4.111 8.102
F 4.128 4.128 5.223
```